The following is a DFT calculation (GGA+U) of crystalline Na3Tb3CoO8 at its relaxed geometry.

Geometry as extended XYZ:
```
15
Lattice="3.333 1.925 5.530 -3.333 1.925 5.530 0.000 -3.849 5.530" Properties=species:S:1:pos:R:3 pbc="T T T"
Na -1.667 -0.962 5.530
Na -1.667 0.962 11.060
Na 0.000 1.925 5.530
Tb -3.333 0.000 8.295
Tb -1.667 0.962 2.765
Tb 1.667 0.962 2.765
Co 0.000 0.000 8.295
O 0.000 0.000 3.943
O -1.458 -0.842 9.369
O 0.000 -1.684 7.221
O -1.458 0.842 7.221
O 1.458 -0.842 9.369
O 0.000 1.684 9.369
O 1.458 0.842 7.221
O 0.000 0.000 12.647
```

Output
Symmetry: R-3m
Uncorrected energy, eV per atom: -6.492